Material: MgCu3Ni
Method: DFT, PBE
State: relaxed

The structure belongs to space group Pm-3m (No. 221); the cell edges are 4.407, 4.407 and 4.407 Å and the angles 90.00°, 90.00° and 90.00°. The distinct sites, in fractional coordinates, are Mg at (0.000, 0.000, 0.000), Cu at (0.000, 0.000, 0.500) and Ni at (0.500, 0.500, 0.500).

For the polymorph energy (0 for the lowest one), the calculation gives 689 meV/atom. The formation energy comes out at 1.257 eV per atom.

---

Material: AuI2NO
Method: DFT, PBE
State: relaxed

The structure belongs to space group P4/mmm (No. 123); the cell edges are 5.848, 5.848 and 3.752 Å and the angles 90.00°, 90.00° and 90.00°. The distinct sites, in fractional coordinates, are Au at (0.000, 0.000, 0.000), I at (0.000, 0.500, 0.000), N at (0.000, 0.000, 0.500) and O at (0.500, 0.500, 0.500).

The uncorrected formation energy is 7.5 eV/f.u. For the polymorph energy (0 for the lowest one), the calculation gives 261 meV/atom.

---

Material: Rb3MgTc
Method: DFT, PBE
State: relaxed

The structure belongs to space group Pm-3m (No. 221); the cell edges are 6.705, 6.705 and 6.705 Å and the angles 90.00°, 90.00° and 90.00°. The distinct sites, in fractional coordinates, are Rb at (0.000, 0.000, 0.500), Mg at (0.500, 0.500, 0.500) and Tc at (0.000, 0.000, 0.000).

For the polymorph energy (0 for the lowest one), the calculation gives 0 meV/atom. The formation energy comes out at 1.216 eV per atom.

---

Material: AcCu3O4
Method: DFT, PBE
State: relaxed

The structure belongs to space group Pm-3n (No. 223); the cell edges are 5.891, 5.891 and 5.891 Å and the angles 90.00°, 90.00° and 90.00°. The distinct sites, in fractional coordinates, are Ac at (0.000, 0.000, 0.000), Cu at (0.000, 0.250, 0.500) and O at (0.250, 0.250, 0.250).

The uncorrected formation energy is -10.8 eV/f.u.

---

Material: Na2CdS
Method: DFT, PBE
State: relaxed

The structure belongs to space group Fm-3m (No. 225); the cell edges are 7.207, 7.207 and 7.207 Å and the angles 90.00°, 90.00° and 90.00°. The distinct sites, in fractional coordinates, are Na at (0.250, 0.250, 0.250), Cd at (0.000, 0.000, 0.000) and S at (0.000, 0.000, 0.500).

The uncorrected formation energy is -1.9 eV/f.u. For the polymorph energy (0 for the lowest one), the calculation gives 0 meV/atom.

---

Material: Pu2Fe3Tc
Method: DFT, PBE
State: relaxed

The structure belongs to space group C2/m (No. 12); the cell edges are 8.544, 4.931 and 5.290 Å and the angles 90.00°, 122.66° and 90.00°. The distinct sites, in fractional coordinates, are Pu at (0.128, 0.000, 0.385), Fe at (0.000, 0.500, 0.000), Fe at (0.250, 0.250, 0.000) and Tc at (0.000, 0.500, 0.500).

The formation energy comes out at 0.144 eV per atom.

---

Material: BaMgBH2
Method: DFT, PBE
State: relaxed

The structure belongs to space group P4/mmm (No. 123); the cell edges are 4.526, 4.526 and 8.150 Å and the angles 90.00°, 90.00° and 90.00°. The distinct sites, in fractional coordinates, are Ba at (0.000, 0.000, 0.000), Mg at (0.000, 0.000, 0.500), B at (0.500, 0.500, 0.500) and H at (0.000, 0.500, 0.000).

---

Material: MgPaOs2
Method: DFT, PBE
State: relaxed

The structure belongs to space group P4/mmm (No. 123); the cell edges are 4.399, 4.399 and 3.656 Å and the angles 90.00°, 90.00° and 90.00°. The distinct sites, in fractional coordinates, are Mg at (0.000, 0.000, 0.000), Pa at (0.500, 0.500, 0.000) and Os at (0.000, 0.500, 0.500).

For the polymorph energy (0 for the lowest one), the calculation gives 0 meV/atom. The formation energy comes out at -0.190 eV per atom.

---

Material: SnHg2BPt
Method: DFT, PBE
State: relaxed

The structure belongs to space group P4/mmm (No. 123); the cell edges are 5.286, 5.286 and 5.037 Å and the angles 90.00°, 90.00° and 90.00°. The distinct sites, in fractional coordinates, are Sn at (0.000, 0.000, 0.000), Hg at (0.000, 0.500, 0.500), B at (0.500, 0.500, 0.000) and Pt at (0.000, 0.000, 0.500).

The formation energy comes out at 0.973 eV per atom.

---

Material: Ca3DyY3Se8
Method: DFT, PBE
State: relaxed

The structure belongs to space group R-3m (No. 166, hexagonal axes); the cell edges are 8.2070, 8.2070 and 20.5242 Å and the angles 90.00°, 90.00° and 120.00°. The distinct sites, in fractional coordinates, are Ca at (0.0000, 0.5000, 0.0000), Dy at (0.0000, 0.0000, 0.5000), Y at (0.0000, 0.5000, 0.5000), Se at (0.0000, 0.0000, 0.2486) and Se at (0.9998, 0.4999, 0.2475).

The uncorrected formation energy is -28.9 eV/f.u.

---

Material: SrLiSb2
Method: DFT, PBE
State: relaxed

The structure belongs to space group Cmmm (No. 65); the cell edges are 7.031, 9.139 and 3.521 Å and the angles 90.00°, 90.00° and 90.00°. The distinct sites, in fractional coordinates, are Sr at (0.000, 0.000, 0.000), Li at (0.000, 0.500, 0.000) and Sb at (0.250, 0.250, 0.500).

The uncorrected formation energy is -2.2 eV/f.u. For the polymorph energy (0 for the lowest one), the calculation gives 46 meV/atom.

---

Material: MnFeBRu
Method: DFT, PBE
State: relaxed

The structure belongs to space group F-43m (No. 216); the cell edges are 5.533, 5.533 and 5.533 Å and the angles 90.00°, 90.00° and 90.00°. The distinct sites, in fractional coordinates, are Mn at (0.000, 0.000, 0.000), Fe at (0.250, 0.250, 0.250), B at (0.000, 0.000, 0.500) and Ru at (0.250, 0.250, 0.750).

The formation energy comes out at 0.099 eV per atom.

---

no.,total magnetic moment (Bohr magnetons per cell),DFT total energy (eV/atom)
1,0.15,-2.676
2,0.00,-2.424
3,2.19,-1.757
4,0.00,-5.880
5,0.00,-2.397
6,25.46,-10.592
7,0.36,-2.180
8,0.00,-8.578
9,0.00,-2.492
10,0.00,-5.784
11,0.00,-3.517
12,8.13,-8.297